1.
Below is a PBEsol-optimized structure of LaY3Ru, with properties calculated at the meta-GGA SCAN level.

```
10
Lattice="5.9616 -1.9545 0.0000 5.9616 1.9545 0.0000 -4.8129 0.0000 11.8192" Properties=species:S:1:pos:R:3 pbc="T T T"
La 0.0000 0.0000 0.0000
La -0.1778 0.0000 3.3955
Y 0.0121 0.0000 9.0988
Y 3.2005 0.0000 1.7544
Y 5.1146 0.0000 6.3780
Y 3.7120 0.0000 10.7854
Y 8.3867 0.0000 4.7377
Y 8.5131 0.0000 8.0089
Ru 1.1208 0.0000 6.4188
Ru 7.1887 0.0000 2.0098
```

## Properties
ΔE_f (meV/atom): -224.1
Magnetization (μB per atom): 0.0000
Symmetry: Cm
Mass density (g cm⁻³): 6.11
Crystal system: monoclinic
E (eV per atom): -32.52

***

2.
Below is a PBEsol-optimized structure of CuNi2Rh, with properties calculated at the meta-GGA SCAN level.

```
4
Lattice="-1.7859 1.7859 3.6001 1.7859 -1.7859 3.6001 1.7859 1.7859 -3.6001" Properties=species:S:1:pos:R:3 pbc="T T T"
Cu 0.0000 0.0000 0.0000
Ni 0.0000 0.0000 3.6001
Ni 0.0000 1.7859 1.8000
Rh 1.7859 0.0000 1.8000
```

## Properties
ΔE_f (meV/atom): 50.9
Magnetization (μB per atom): 0.5493
Symmetry: I-4m2
Mass density (g cm⁻³): 10.26
Crystal system: tetragonal
E (eV per atom): -20.28

***

3.
Below is a PBEsol-optimized structure of Li10SiP2S12, with properties calculated at the meta-GGA SCAN level.

```
50
Lattice="8.4351 0.0000 0.0000 -0.0865 8.8165 0.0000 -0.3777 -0.7246 12.5997" Properties=species:S:1:pos:R:3 pbc="T T T"
Li 0.0000 0.0000 0.0000
Li -0.2714 4.1731 7.7055
Li -0.1919 -0.3799 9.6013
Li 0.0837 4.0386 1.3037
Li 0.0731 4.0197 4.6397
Li 1.9866 6.5768 2.4369
Li 2.0069 1.5129 6.3090
Li 2.0090 6.3692 8.8218
Li 3.8157 4.0683 4.6569
Li 4.1040 4.0427 1.3259
Li 4.1292 8.5179 2.8882
Li 3.9609 3.9568 11.2311
Li 4.1493 8.1438 6.2990
Li 4.0196 8.0318 12.2154
Li 4.3818 4.1530 7.7870
Li 5.8364 1.3739 10.2209
Li 6.2430 1.9223 3.7335
Li 7.9522 7.7125 6.1921
Li 7.9319 3.8661 11.1271
Li 8.2222 8.5141 3.0039
Si 1.9338 6.3615 5.4229
Si 6.3133 2.2870 0.7580
P 1.6871 5.8027 11.8058
P 2.0338 1.8016 3.2445
P 6.0121 6.3124 9.3134
P 6.2243 1.8266 7.0490
S 0.1777 6.4141 4.1977
S 0.3706 6.3005 0.3456
S 0.3748 1.5781 4.4237
S 2.0263 0.3492 1.8057
S 1.7453 4.3681 10.3378
S 1.8115 7.9186 6.8754
S 1.7372 7.6866 11.0105
S 1.9554 4.4509 6.4299
S 2.0867 3.7209 2.5442
S 3.7427 6.3550 0.3939
S 3.6930 1.5516 4.4253
S 3.7228 6.5100 4.2813
S 4.1923 1.7215 12.1465
S 4.3894 6.5610 8.1375
S 4.4830 1.6477 8.1008
S 5.9209 4.3877 10.0028
S 6.3059 0.3331 1.6789
S 6.3171 3.8212 2.2403
S 6.2809 0.3269 5.6510
S 6.2528 3.6580 6.0904
S 6.1076 7.7420 10.7829
S 7.6869 1.6975 12.1452
S 7.7654 6.5002 8.2546
S 7.8716 1.7572 8.2838
```

## Properties
ΔE to the lowest computed polymorph (meV/atom): 0
Energy relative to the elements, uncorrected (eV/atom): -1.1554
Magnetization (μB per atom): 0.0000
Symmetry: P1
Mass density (g cm⁻³): 1.93
Crystal system: triclinic
E (eV per atom): -7.97

***

4.
Below is a PBEsol-optimized structure of Na3CdTc, with properties calculated at the meta-GGA SCAN level.

```
5
Lattice="5.4729 0.0000 0.0000 0.0000 5.4729 0.0000 0.0000 0.0000 5.4729" Properties=species:S:1:pos:R:3 pbc="T T T"
Na 0.0000 0.0000 2.7364
Na 0.0000 2.7364 0.0000
Na 2.7364 0.0000 0.0000
Cd 0.0000 0.0000 0.0000
Tc 2.7364 2.7364 2.7364
```

## Properties
ΔE_f (meV/atom): 1124.8
Magnetization (μB per atom): 0.8490
Symmetry: Pm-3m
Mass density (g cm⁻³): 2.83
Crystal system: cubic
E (eV per atom): -14.50

***

Among the records above, which one has the highest E?
Li10SiP2S12